[1]
Here is a relaxed SmTc6 crystal from the Alexandria database. Energies are from PBE.

Properties
ΔE to the lowest computed polymorph	0.00	eV per formula unit
calculated total energy	-66.50	eV/f.u.
formation energy from the elements	59	meV per atom
magnetic moment	0.000	μB/atom

Cell lengths 8.5317, 5.1954, 10.7328 Å; angles 90.00, 90.00, 90.00 degrees
Last column: nearest neighbours and their distance in Å.
Atoms (fractional coordinates):
Sm (0.2331, 0.2500, 0.0556)  9 Tc 2.93-3.27
Sm (0.2669, 0.7500, 0.5556)  9 Tc 2.93-3.27
Sm (0.7331, 0.2500, 0.4444)  9 Tc 2.93-3.27
Sm (0.7669, 0.7500, 0.9444)  9 Tc 2.93-3.27
Tc (0.0691, 0.0091, 0.3052)  8 Tc 2.50-2.78
Tc (0.0691, 0.4909, 0.3052)  8 Tc 2.50-2.78
Tc (0.0776, 0.7500, 0.0788)  4 Tc 2.50-2.78
Tc (0.0800, 0.2500, 0.5225)  5 Tc 2.62-2.68
Tc (0.1416, 0.7500, 0.8517)  3 Tc 2.50-2.76
Tc (0.1866, 0.2500, 0.7576)  8 Tc 2.53-2.81
Tc (0.3134, 0.7500, 0.2576)  8 Tc 2.53-2.81
Tc (0.3584, 0.2500, 0.3517)  3 Tc 2.50-2.76
Tc (0.4200, 0.7500, 0.0225)  5 Tc 2.62-2.68
Tc (0.4224, 0.2500, 0.5788)  4 Tc 2.50-2.78
Tc (0.4309, 0.5091, 0.8052)  8 Tc 2.50-2.78
Tc (0.4309, 0.9909, 0.8052)  8 Tc 2.50-2.78
Tc (0.5691, 0.0091, 0.1948)  8 Tc 2.50-2.78
Tc (0.5691, 0.4909, 0.1948)  8 Tc 2.50-2.78
Tc (0.5776, 0.7500, 0.4212)  4 Tc 2.50-2.78
Tc (0.5800, 0.2500, 0.9775)  5 Tc 2.62-2.68
Tc (0.6416, 0.7500, 0.6483)  3 Tc 2.50-2.76
Tc (0.6866, 0.2500, 0.7424)  8 Tc 2.53-2.81
Tc (0.8134, 0.7500, 0.2424)  8 Tc 2.53-2.81
Tc (0.8584, 0.2500, 0.1483)  3 Tc 2.50-2.76
Tc (0.9200, 0.7500, 0.4775)  5 Tc 2.62-2.68
Tc (0.9224, 0.2500, 0.9212)  4 Tc 2.50-2.78
Tc (0.9309, 0.5091, 0.6948)  8 Tc 2.50-2.78
Tc (0.9309, 0.9909, 0.6948)  8 Tc 2.50-2.78

=====

[2]
Here is a relaxed Pm12TmIr7 crystal from the Alexandria database. Energies are from PBE.

Properties
calculated total energy	-133.68	eV/f.u.
formation energy from the elements	-509	meV per atom
magnetic moment	0.000	μB/atom

Cell lengths 9.2719, 9.2719, 9.2719 Å; angles 110.30, 110.30, 110.30 degrees
Last column: nearest neighbours and their distance in Å.
Atoms (fractional coordinates):
Pm (0.1029, 0.2462, 0.6630)  3 Ir 2.80-2.86
Pm (0.1283, 0.4123, 0.3339)  3 Ir 2.90-2.97
Pm (0.2462, 0.6630, 0.1029)  3 Ir 2.80-2.86
Pm (0.3339, 0.1283, 0.4123)  3 Ir 2.90-2.97
Pm (0.3370, 0.8971, 0.7538)  3 Ir 2.80-2.86
Pm (0.4123, 0.3339, 0.1283)  3 Ir 2.90-2.97
Pm (0.5877, 0.6661, 0.8717)  3 Ir 2.90-2.97
Pm (0.6630, 0.1029, 0.2462)  3 Ir 2.80-2.86
Pm (0.6661, 0.8717, 0.5877)  3 Ir 2.90-2.97
Pm (0.7538, 0.3370, 0.8971)  3 Ir 2.80-2.86
Pm (0.8717, 0.5877, 0.6661)  3 Ir 2.90-2.97
Pm (0.8971, 0.7538, 0.3370)  3 Ir 2.80-2.86
Tm (0.0000, 0.0000, 0.0000)  6 Ir 2.73
Ir (0.0406, 0.9478, 0.7113)  1 Tm 2.73, 5 Pm 2.80-2.97
Ir (0.0522, 0.2887, 0.9594)  1 Tm 2.73, 5 Pm 2.80-2.97
Ir (0.2887, 0.9594, 0.0522)  1 Tm 2.73, 5 Pm 2.80-2.97
Ir (0.5000, 0.5000, 0.5000)  6 Pm 2.90
Ir (0.7113, 0.0406, 0.9478)  1 Tm 2.73, 5 Pm 2.80-2.97
Ir (0.9478, 0.7113, 0.0406)  1 Tm 2.73, 5 Pm 2.80-2.97
Ir (0.9594, 0.0522, 0.2887)  1 Tm 2.73, 5 Pm 2.80-2.97

=====

[3]
Here is a relaxed RbCrAg2Se crystal from the Alexandria database. Energies are from PBE.

Properties
energy relative to the elements, uncorrected	0.80	eV per atom
calculated total energy	-15.80	eV/f.u.
magnetic moment	1.017	μB/atom

Cell lengths 5.1270, 5.1270, 6.1943 Å; angles 90.00, 90.00, 90.00 degrees
Last column: nearest neighbours and their distance in Å.
Atoms (fractional coordinates):
Rb (0.0000, 0.0000, 0.0000)  2 Cr 3.10
Cr (0.0000, 0.0000, 0.5000)  4 Ag 2.56
Ag (0.0000, 0.5000, 0.5000)  2 Cr 2.56
Ag (0.5000, 0.0000, 0.5000)  2 Cr 2.56
Se (0.5000, 0.5000, 0.0000)  4 Rb 3.63, 8 Ag 4.02

=====

[4]
Here is a relaxed ScPd5Au8 crystal from the Alexandria database. Energies are from PBE.

Properties
calculated total energy	-60.01	eV/f.u.
formation energy from the elements	-107	meV per atom
magnetic moment	0.000	μB/atom

Cell lengths 6.9280, 6.9280, 6.9280 Å; angles 110.32, 110.32, 107.79 degrees
Last column: nearest neighbours and their distance in Å.
Atoms (fractional coordinates):
Sc (0.0000, 0.0000, 0.0000)  4 Au 2.68
Pd (0.0376, 0.2208, 0.5879)  8 Au 2.71-2.99, 2 Pd 2.95
Pd (0.2500, 0.7500, 0.5000)  8 Au 2.66-2.77
Pd (0.5502, 0.9624, 0.1832)  8 Au 2.71-2.99, 2 Pd 2.95
Pd (0.6329, 0.4498, 0.4121)  8 Au 2.71-2.99, 2 Pd 2.95
Pd (0.7792, 0.3671, 0.8168)  8 Au 2.71-2.99, 2 Pd 2.95
Au (0.1064, 0.6763, 0.7901)  5 Pd 2.66-2.85, 1 Sc 2.68, 2 Au 2.94-2.98
Au (0.2620, 0.4908, 0.1014)  5 Pd 2.77-2.99, 4 Au 2.80-3.00, 1 Sc 3.01
Au (0.3237, 0.1138, 0.4301)  5 Pd 2.66-2.85, 1 Sc 2.68, 2 Au 2.94-2.98
Au (0.3893, 0.1605, 0.8986)  5 Pd 2.77-2.99, 4 Au 2.80-3.00, 1 Sc 3.01
Au (0.5092, 0.6107, 0.7712)  5 Pd 2.77-2.99, 4 Au 2.80-3.00, 1 Sc 3.01
Au (0.6837, 0.8936, 0.5699)  5 Pd 2.66-2.85, 1 Sc 2.68, 2 Au 2.94-2.98
Au (0.8395, 0.7380, 0.2288)  5 Pd 2.77-2.99, 4 Au 2.80-3.00, 1 Sc 3.01
Au (0.8862, 0.3163, 0.2099)  5 Pd 2.66-2.85, 1 Sc 2.68, 2 Au 2.94-2.98

=====

[5]
Here is a relaxed CaSi2Pt6 crystal from the Alexandria database. Energies are from PBE.

Properties
energy relative to the elements, uncorrected	-0.51	eV per atom
calculated total energy	-53.72	eV/f.u.
magnetic moment	0.000	μB/atom

Cell lengths 7.9191, 7.9191, 7.9191 Å; angles 60.00, 60.00, 60.00 degrees
Last column: nearest neighbours and their distance in Å.
Atoms (fractional coordinates):
Ca (0.1250, 0.1250, 0.1250)  6 Pt 2.93
Ca (0.8750, 0.8750, 0.8750)  6 Pt 2.93
Si (0.0000, 0.5000, 0.5000)  6 Pt 2.35
Si (0.5000, 0.0000, 0.5000)  6 Pt 2.35
Si (0.5000, 0.5000, 0.0000)  6 Pt 2.35
Si (0.5000, 0.5000, 0.5000)  6 Pt 2.35
Pt (0.1370, 0.1370, 0.6130)  2 Si 2.35
Pt (0.1370, 0.6130, 0.1370)  2 Si 2.35
Pt (0.1370, 0.6130, 0.6130)  2 Si 2.35
Pt (0.3870, 0.3870, 0.8630)  2 Si 2.35
Pt (0.3870, 0.8630, 0.3870)  2 Si 2.35
Pt (0.3870, 0.8630, 0.8630)  2 Si 2.35
Pt (0.6130, 0.1370, 0.1370)  2 Si 2.35
Pt (0.6130, 0.1370, 0.6130)  2 Si 2.35
Pt (0.6130, 0.6130, 0.1370)  2 Si 2.35
Pt (0.8630, 0.3870, 0.3870)  2 Si 2.35
Pt (0.8630, 0.3870, 0.8630)  2 Si 2.35
Pt (0.8630, 0.8630, 0.3870)  2 Si 2.35

=====

[6]
Here is a relaxed Cs3HgI crystal from the Alexandria database. Energies are from PBE.

Properties
energy relative to the elements, uncorrected	-0.67	eV per atom
ΔE to the lowest computed polymorph	0.00	eV per formula unit
calculated total energy	-7.74	eV/f.u.
magnetic moment	0.000	μB/atom

Cell lengths 11.5713, 5.1512, 11.6784 Å; angles 90.00, 112.88, 90.00 degrees
Last column: nearest neighbours and their distance in Å.
Atoms (fractional coordinates):
Cs (0.0941, 0.2500, 0.2627)  3 Hg 3.91-3.93, 2 I 4.02
Cs (0.2947, 0.2500, 0.9873)  2 I 4.06, 1 Hg 4.48
Cs (0.3478, 0.7500, 0.6153)  3 I 4.00-4.05, 3 Hg 4.15-4.32
Cs (0.6522, 0.2500, 0.3847)  3 I 4.00-4.05, 3 Hg 4.15-4.32
Cs (0.7053, 0.7500, 0.0127)  2 I 4.06, 1 Hg 4.48
Cs (0.9059, 0.7500, 0.7373)  3 Hg 3.91-3.93, 2 I 4.02
Hg (0.0547, 0.2500, 0.5802)  2 Hg 3.15
Hg (0.9453, 0.7500, 0.4198)  2 Hg 3.15
I (0.3654, 0.7500, 0.2756)  7 Cs 4.00-4.06
I (0.6346, 0.2500, 0.7244)  7 Cs 4.00-4.06

=====

[7]
Here is a relaxed Pr3Sm6In crystal from the Alexandria database. Energies are from PBE.

Properties
ΔE to the lowest computed polymorph	0.09	eV per formula unit
calculated total energy	-45.42	eV/f.u.
formation energy from the elements	-3	meV per atom
magnetic moment	0.000	μB/atom

Cell lengths 11.2632, 11.2632, 6.3586 Å; angles 90.00, 90.00, 122.70 degrees
Last column: nearest neighbours and their distance in Å.
Atoms (fractional coordinates):
Pr (0.1046, 0.8954, 0.5000)  1 In 3.21, 3 Sm 3.41-3.42
Pr (0.2131, 0.4546, 0.1567)  1 In 3.32, 2 Sm 3.34-3.41, 1 Pr 3.59
Pr (0.4546, 0.2131, 0.6567)  1 In 3.32, 2 Sm 3.34-3.41, 1 Pr 3.59
Pr (0.5454, 0.7869, 0.1567)  1 In 3.32, 2 Sm 3.34-3.41, 1 Pr 3.59
Pr (0.7869, 0.5454, 0.6567)  1 In 3.32, 2 Sm 3.34-3.41, 1 Pr 3.59
Pr (0.8954, 0.1046, 0.0000)  1 In 3.21, 3 Sm 3.41-3.42
Sm (0.0656, 0.4640, 0.6932)  2 In 3.19-3.43, 3 Sm 3.34-3.46, 1 Pr 3.41
Sm (0.1312, 0.2122, 0.5285)  3 Pr 3.34-3.73, 5 Sm 3.46-3.71
Sm (0.2106, 0.7894, 0.9230)  2 In 3.29-3.42, 4 Sm 3.34-3.43, 1 Pr 3.41
Sm (0.2122, 0.1312, 0.0285)  3 Pr 3.34-3.73, 5 Sm 3.46-3.71
Sm (0.4400, 0.5600, 0.6614)  6 Sm 3.67-3.97, 1 In 3.82, 6 Pr 3.82-4.00
Sm (0.4640, 0.0656, 0.1932)  2 In 3.19-3.43, 3 Sm 3.34-3.46, 1 Pr 3.41
Sm (0.5360, 0.9344, 0.6932)  2 In 3.19-3.43, 3 Sm 3.34-3.46, 1 Pr 3.41
Sm (0.5600, 0.4400, 0.1614)  6 Sm 3.67-3.97, 1 In 3.82, 6 Pr 3.82-4.00
Sm (0.7878, 0.8688, 0.5285)  3 Pr 3.34-3.73, 5 Sm 3.46-3.71
Sm (0.7894, 0.2106, 0.4230)  2 In 3.29-3.42, 4 Sm 3.34-3.43, 1 Pr 3.41
Sm (0.8688, 0.7878, 0.0285)  3 Pr 3.34-3.73, 5 Sm 3.46-3.71
Sm (0.9344, 0.5360, 0.1932)  2 In 3.19-3.43, 3 Sm 3.34-3.46, 1 Pr 3.41
In (0.2644, 0.7356, 0.4119)  6 Sm 3.19-3.43, 3 Pr 3.21-3.32
In (0.7356, 0.2644, 0.9119)  6 Sm 3.19-3.43, 3 Pr 3.21-3.32

=====

[8]
Here is a relaxed NaHfGeN3 crystal from the Alexandria database. Energies are from PBE.

Properties
energy relative to the elements, uncorrected	-0.62	eV per atom
calculated total energy	-44.60	eV/f.u.
magnetic moment	0.000	μB/atom

Cell lengths 6.6187, 3.1958, 9.0396 Å; angles 90.00, 92.78, 90.00 degrees
Last column: nearest neighbours and their distance in Å.
Atoms (fractional coordinates):
Na (0.1296, 0.2500, 0.1953)  4 N 2.52-2.77
Na (0.8704, 0.7500, 0.8047)  4 N 2.52-2.77
Hf (0.3981, 0.7500, 0.8721)  5 N 2.02-2.20
Hf (0.6019, 0.2500, 0.1279)  5 N 2.02-2.20
Ge (0.1388, 0.2500, 0.5784)  4 N 1.80-2.01
Ge (0.8612, 0.7500, 0.4216)  4 N 1.80-2.01
N (0.1616, 0.7500, 0.4655)  3 Ge 1.91-2.01
N (0.2080, 0.2500, 0.7737)  1 Ge 1.80
N (0.3825, 0.7500, 0.0943)  3 Hf 2.02-2.17
N (0.6175, 0.2500, 0.9057)  3 Hf 2.02-2.17
N (0.7920, 0.7500, 0.2263)  1 Ge 1.80
N (0.8384, 0.2500, 0.5345)  3 Ge 1.91-2.01